## Tm2Zr3N4 (PBE)

Data for a relaxed Tm2Zr3N4 crystal.

Unit cell a=5.746 b=5.746 c=8.142 alpha=117.56 beta=117.56 gamma=33.40
Sites, in units of the cell vectors:
1 Tm 0.103 0.103 0.392
2 Tm 0.897 0.897 0.608
3 Zr 0.290 0.290 0.184
4 Zr 0.500 0.500 0.000
5 Zr 0.710 0.710 0.816
6 N 0.100 0.100 0.901
7 N 0.298 0.298 0.704
8 N 0.702 0.702 0.296
9 N 0.900 0.900 0.099

## Properties
Symmetry: C2/m
Calculated volume, Å³ per cell: 129.6
Total DFT energy (no corrections), eV/atom: -9.099
DOS(E_F), states/eV/f.u.: 3.3
Raw formation energy, meV/atom: -1556

## PmEr2Te5 (PBE)

Data for a relaxed PmEr2Te5 crystal.

Unit cell a=9.164 b=9.164 c=9.164 alpha=127.43 beta=127.43 gamma=77.55
Sites, in units of the cell vectors:
1 Pm 0.250 0.250 0.000
2 Pm 0.750 0.750 0.000
3 Er 0.151 0.651 0.801
4 Er 0.349 0.151 0.500
5 Er 0.651 0.849 0.500
6 Er 0.849 0.349 0.199
7 Te 0.000 0.000 0.000
8 Te 0.011 0.194 0.500
9 Te 0.194 0.694 0.183
10 Te 0.306 0.489 0.500
11 Te 0.489 0.989 0.183
12 Te 0.500 0.500 0.000
13 Te 0.511 0.011 0.817
14 Te 0.694 0.511 0.500
15 Te 0.806 0.306 0.817
16 Te 0.989 0.806 0.500

## Properties
Symmetry: I4/mcm
Calculated volume, Å³ per cell: 470.6
Total DFT energy (no corrections), eV/atom: -4.877
DOS(E_F), states/eV/f.u.: 5.5
Raw formation energy, meV/atom: -1179

## CaTlHAu (PBE)

Data for a relaxed CaTlHAu crystal.

Unit cell a=5.473 b=5.473 c=5.473 alpha=137.20 beta=128.00 gamma=69.55
Sites, in units of the cell vectors:
1 Ca 0.000 0.000 0.000
2 Tl 0.729 0.229 0.500
3 H 0.489 0.989 0.500
4 Au 0.263 0.763 0.500

## Properties
Symmetry: Imm2
Calculated volume, Å³ per cell: 86.1
Total DFT energy (no corrections), eV/atom: -2.992
DOS(E_F), states/eV/f.u.: 1.6
Offset from the most stable computed form, eV per atom: 0.0764

## PmNd2Ti (PBE)

Data for a relaxed PmNd2Ti crystal.

Unit cell a=12.273 b=12.273 c=12.273 alpha=16.03 beta=16.03 gamma=16.03
Sites, in units of the cell vectors:
1 Pm 0.000 0.000 0.000
2 Nd 0.418 0.418 0.418
3 Nd 0.582 0.582 0.582
4 Ti 0.500 0.500 0.500

## Properties
Symmetry: R-3m
Calculated volume, Å³ per cell: 122.8
Total DFT energy (no corrections), eV/atom: -5.083
DOS(E_F), states/eV/f.u.: 6.7
Energy of formation, eV per atom: 0.46